1.
5
Lattice="6.136 0.000 0.000 0.000 5.232 0.000 0.000 0.000 6.136" Properties=species:S:1:pos:R:3 comment="GGA-PBE K2RbAsOs, optimized geometry" dft_energy_ry_per_atom=-0.157 magnetic_moment_mub_per_cell=2.84 pbc="T T T"
As 3.068 2.616 3.068
Os 0.000 2.616 0.000
K 0.000 0.000 3.068
K 3.068 0.000 0.000
Rb 0.000 0.000 0.000

2.
5
Lattice="4.716 0.000 0.000 0.000 4.716 0.000 0.000 0.000 5.831" Properties=species:S:1:pos:R:3 comment="GGA-PBE KAs2OsSe, optimized geometry" dft_energy_ry_per_atom=-0.359 magnetic_moment_mub_per_cell=0.00 pbc="T T T"
As 0.000 2.358 0.000
As 2.358 0.000 0.000
Os 0.000 0.000 0.000
K 2.358 2.358 2.915
Se 0.000 0.000 2.915

3.
5
Lattice="-1.771 4.889 0.464 -4.137 -1.219 -2.943 -2.378 -1.227 3.851" Properties=species:S:1:pos:R:3 comment="GGA-PBE KAsOsSe2, optimized geometry" dft_energy_ry_per_atom=-0.343 magnetic_moment_mub_per_cell=0.96 pbc="T T T"
As -1.189 -0.613 1.925
Os 0.000 0.000 0.000
K -4.143 1.222 0.686
Se -2.068 -0.610 -1.471
Se -0.886 2.445 0.232

4.
5
Lattice="-1.068 -3.169 4.081 -2.730 -3.192 -3.193 4.244 -2.668 -0.961" Properties=species:S:1:pos:R:3 comment="GGA-PBE KAsOsSe2, optimized geometry" dft_energy_ry_per_atom=-0.171 magnetic_moment_mub_per_cell=0.08 pbc="T T T"
As 2.122 -1.334 -0.481
Os 0.223 -4.514 -0.037
K 0.000 0.000 0.000
Se -1.365 -1.596 -1.597
Se -0.534 -1.584 2.040